Record 1
A crystal of MgIrRh2 relaxed with PBEsol, computed with SCAN.

```
MgIrRh2
1.0
-1.5864 -0.6278 -2.0996
1.9036 -1.7737 0.7413
-5.8122 -3.9134 5.5617
Ir Rh Mg
1 2 1
direct
0.0000 0.0000 0.4999
0.5000 0.5000 0.7517
0.0000 0.0000 0.0011
0.5000 0.5000 0.2474
```

Computed properties:
symmetry = Cmm2, No. 35
energy relative to the elements = 0.06 eV per atom

Record 2
A crystal of Cr2SbPtS relaxed with PBEsol, computed with SCAN.

```
Cr2SbPtS
1.0
4.8645 0.0000 0.0000
0.0000 4.9718 0.0000
0.0000 0.0000 4.9718
Cr S Sb Pt
2 1 1 1
direct
0.0000 0.5000 0.0000
0.0000 0.0000 0.5000
0.5000 0.0000 0.0000
0.0000 0.0000 0.0000
0.5000 0.5000 0.5000
```

Computed properties:
raw formation energy = 1.231 eV/atom
symmetry = P4/mmm, No. 123

Record 3
A crystal of NiRhIO2 relaxed with PBEsol, computed with SCAN.

```
NiRhIO2
1.0
3.6447 0.0000 0.0000
0.0000 3.6447 0.0000
0.0000 0.0000 7.4314
O Ni I Rh
2 1 1 1
direct
0.0000 0.5000 0.0000
0.5000 0.0000 0.0000
0.5000 0.5000 0.5000
0.0000 0.0000 0.5000
0.0000 0.0000 0.0000
```

Computed properties:
raw formation energy = -0.016 eV/atom
symmetry = P4/mmm, No. 123

Record 4
A crystal of YZrBr2 relaxed with PBEsol, computed with SCAN.

```
YZrBr2
1.0
3.4334 0.0000 -0.0262
0.0000 5.2482 0.0000
-1.1600 0.0000 5.1643
Br Zr Y
2 1 1
direct
0.7474 0.5000 0.2291
0.1534 0.0000 0.9599
0.0837 0.5000 0.7967
0.5154 0.0000 0.5143
```

Computed properties:
energy above the most stable polymorph in this dataset = 0.000 eV per atom
raw formation energy = -0.768 eV/atom
symmetry = Pm, No. 6